A PBEsol-optimized structure of Li2ZrTc. Source: the Alexandria database, functional SCAN. Values from VASP.

Cell and atoms, written as Quantum ESPRESSO input:
```
&SYSTEM
  ibrav = 0, nat = 8, ntyp = 3
/
ATOMIC_SPECIES
Li 6.94 Li.upf
Zr 91.22 Zr.upf
Tc 98.00 Tc.upf
CELL_PARAMETERS angstrom
3.216 0.000 0.000
0.000 4.786 0.000
0.000 0.000 8.079
ATOMIC_POSITIONS angstrom
Li 0.000 0.000 0.000
Li 0.000 2.393 2.254
Li 1.608 0.000 6.293
Li 1.608 2.393 4.039
Zr 0.000 2.393 6.313
Zr 1.608 0.000 2.274
Tc 0.000 0.000 4.272
Tc 1.608 2.393 0.232
```

Values from the calculation:
Calculated formation energy, eV per formula unit: 1.15
Energy, eV per atom: -17.35
Fermi-level density of states, states/eV/f.u.: 2.73
Spin magnetization, μB per formula unit: 0.000


A PBEsol-optimized structure of LiReCl3. Source: the Alexandria database, functional SCAN. Values from VASP.

Cell and atoms, written as Quantum ESPRESSO input:
```
&SYSTEM
  ibrav = 0, nat = 5, ntyp = 3
/
ATOMIC_SPECIES
Li 6.94 Li.upf
Re 186.21 Re.upf
Cl 35.45 Cl.upf
CELL_PARAMETERS angstrom
4.552 0.000 0.000
0.000 4.552 0.000
0.000 0.000 4.552
ATOMIC_POSITIONS angstrom
Li 0.000 0.000 0.000
Re 2.276 2.276 2.276
Cl 0.000 0.000 2.276
Cl 0.000 2.276 0.000
Cl 2.276 0.000 0.000
```

Values from the calculation:
ΔE_f (raw), eV per atom: 0.143
Energy, eV per atom: -19.34
Fermi-level density of states, states/eV/f.u.: 2.71
Spin magnetization, μB per formula unit: 5.000


A PBEsol-optimized structure of Be2CrCl. Source: the Alexandria database, functional SCAN. Values from VASP.

Cell and atoms, written as Quantum ESPRESSO input:
```
&SYSTEM
  ibrav = 0, nat = 4, ntyp = 3
/
ATOMIC_SPECIES
Be 9.01 Be.upf
Cr 52.00 Cr.upf
Cl 35.45 Cl.upf
CELL_PARAMETERS angstrom
4.073 0.000 0.000
0.000 2.770 0.000
-1.644 0.000 4.076
ATOMIC_POSITIONS angstrom
Be 0.000 0.000 0.000
Be 2.037 1.385 0.000
Cr -0.822 1.385 2.038
Cl 1.215 0.000 2.038
```

Values from the calculation:
ΔE_f (raw), eV per atom: 0.554
Energy, eV per atom: -8.21
Fermi-level density of states, states/eV/f.u.: 1.64
Spin magnetization, μB per formula unit: 2.748


A PBEsol-optimized structure of Ba2Zn2P. Source: the Alexandria database, functional SCAN. Values from VASP.

Cell and atoms, written as Quantum ESPRESSO input:
```
&SYSTEM
  ibrav = 0, nat = 10, ntyp = 3
/
ATOMIC_SPECIES
Ba 137.33 Ba.upf
Zn 65.41 Zn.upf
P 30.97 P.upf
CELL_PARAMETERS angstrom
3.842 0.000 0.000
0.000 3.842 0.000
0.000 0.000 19.228
ATOMIC_POSITIONS angstrom
Ba 0.000 0.000 1.707
Ba 0.000 0.000 17.522
Ba 1.921 1.921 7.907
Ba 1.921 1.921 11.321
Zn 0.000 1.921 4.807
Zn 0.000 1.921 14.421
Zn 1.921 0.000 4.807
Zn 1.921 0.000 14.421
P 0.000 0.000 9.614
P 1.921 1.921 0.000
```

Values from the calculation:
Calculated formation energy, eV per formula unit: -2.25
Energy, eV per atom: -23.76
Fermi-level density of states, states/eV/f.u.: 3.24
Spin magnetization, μB per formula unit: 0.000


A PBEsol-optimized structure of NbPWS2. Source: the Alexandria database, functional SCAN. Values from VASP.

Cell and atoms, written as Quantum ESPRESSO input:
```
&SYSTEM
  ibrav = 0, nat = 5, ntyp = 4
/
ATOMIC_SPECIES
Nb 92.91 Nb.upf
P 30.97 P.upf
W 183.84 W.upf
S 32.06 S.upf
CELL_PARAMETERS angstrom
4.631 0.000 0.000
0.000 4.631 0.000
0.000 0.000 4.876
ATOMIC_POSITIONS angstrom
Nb 0.000 0.000 0.000
P 0.000 0.000 2.438
W 2.315 2.315 2.438
S 0.000 2.315 0.000
S 2.315 0.000 0.000
```

Values from the calculation:
ΔE_f (raw), eV per atom: 0.982
Energy, eV per atom: -25.51
Fermi-level density of states, states/eV/f.u.: 3.49
Spin magnetization, μB per formula unit: 3.820


A PBEsol-optimized structure of BSb2TeF. Source: the Alexandria database, functional SCAN. Values from VASP.

Cell and atoms, written as Quantum ESPRESSO input:
```
&SYSTEM
  ibrav = 0, nat = 5, ntyp = 4
/
ATOMIC_SPECIES
B 10.81 B.upf
Sb 121.76 Sb.upf
Te 127.60 Te.upf
F 19.00 F.upf
CELL_PARAMETERS angstrom
4.679 0.000 0.000
0.000 4.679 0.000
0.000 0.000 5.147
ATOMIC_POSITIONS angstrom
B 0.000 0.000 0.000
Sb 0.000 2.339 2.573
Sb 2.339 0.000 2.573
Te 2.339 2.339 0.000
F 2.339 2.339 2.573
```

Values from the calculation:
ΔE_f (raw), eV per atom: 0.873
Energy, eV per atom: -23.68
Fermi-level density of states, states/eV/f.u.: 2.59
Spin magnetization, μB per formula unit: 0.000


A PBEsol-optimized structure of Ti2Be2Sb. Source: the Alexandria database, functional SCAN. Values from VASP.

Cell and atoms, written as Quantum ESPRESSO input:
```
&SYSTEM
  ibrav = 0, nat = 10, ntyp = 3
/
ATOMIC_SPECIES
Ti 47.87 Ti.upf
Be 9.01 Be.upf
Sb 121.76 Sb.upf
CELL_PARAMETERS angstrom
6.166 0.000 0.000
0.000 6.166 0.000
0.000 0.000 3.625
ATOMIC_POSITIONS angstrom
Ti 1.061 2.022 0.000
Ti 2.022 5.105 0.000
Ti 4.144 1.061 0.000
Ti 5.105 4.144 0.000
Be 0.709 3.792 1.812
Be 2.374 0.709 1.812
Be 3.792 5.457 1.812
Be 5.457 2.374 1.812
Sb 0.000 0.000 1.812
Sb 3.083 3.083 1.812
```

Values from the calculation:
ΔE_f (raw), eV per atom: -0.277
Energy, eV per atom: -15.88
Fermi-level density of states, states/eV/f.u.: 2.28
Spin magnetization, μB per formula unit: 0.000


A PBEsol-optimized structure of Ag2HgPt. Source: the Alexandria database, functional SCAN. Values from VASP.

Cell and atoms, written as Quantum ESPRESSO input:
```
&SYSTEM
  ibrav = 0, nat = 4, ntyp = 3
/
ATOMIC_SPECIES
Ag 107.87 Ag.upf
Hg 200.59 Hg.upf
Pt 195.08 Pt.upf
CELL_PARAMETERS angstrom
4.017 0.000 0.000
0.000 4.017 0.000
0.000 0.000 4.166
ATOMIC_POSITIONS angstrom
Ag 0.000 2.008 0.000
Ag 2.008 0.000 0.000
Hg 0.000 0.000 2.083
Pt 2.008 2.008 2.083
```

Values from the calculation:
Calculated formation energy, eV per formula unit: -0.05
Energy, eV per atom: -50.29
Fermi-level density of states, states/eV/f.u.: 0.92
Spin magnetization, μB per formula unit: 0.000


A PBEsol-optimized structure of Ca2RuO4. Source: the Alexandria database, functional SCAN. Values from VASP.

Cell and atoms, written as Quantum ESPRESSO input:
```
&SYSTEM
  ibrav = 0, nat = 14, ntyp = 3
/
ATOMIC_SPECIES
Ca 40.08 Ca.upf
Ru 101.07 Ru.upf
O 16.00 O.upf
CELL_PARAMETERS angstrom
6.222 -2.618 0.000
6.222 2.618 0.000
0.000 0.000 5.233
ATOMIC_POSITIONS angstrom
Ca 1.911 0.000 0.000
Ca 4.311 0.000 2.617
Ca 8.133 0.000 2.617
Ca 10.533 0.000 0.000
Ru 0.000 0.000 2.617
Ru 6.222 0.000 0.000
O 2.062 0.000 2.617
O 6.222 1.651 4.268
O 6.222 0.967 1.651
O 4.160 0.000 0.000
O 8.284 0.000 0.000
O 6.222 -0.967 3.582
O 6.222 -1.651 0.965
O 10.382 0.000 2.617
```

Values from the calculation:
ΔE_f (raw), eV per atom: -2.396
Energy, eV per atom: -13.69
Fermi-level density of states, states/eV/f.u.: 1.22
Spin magnetization, μB per formula unit: 2.007


A PBEsol-optimized structure of TaCoTe2. Source: the Alexandria database, functional SCAN. Values from VASP.

Cell and atoms, written as Quantum ESPRESSO input:
```
&SYSTEM
  ibrav = 0, nat = 16, ntyp = 3
/
ATOMIC_SPECIES
Ta 180.95 Ta.upf
Co 58.93 Co.upf
Te 127.60 Te.upf
CELL_PARAMETERS angstrom
8.126 0.000 0.000
0.000 6.212 0.000
-3.399 0.000 6.877
ATOMIC_POSITIONS angstrom
Ta -0.931 0.113 2.117
Ta -2.630 2.994 5.556
Ta 7.357 3.219 1.321
Ta 5.658 6.100 4.760
Co -1.004 4.030 3.848
Co 0.695 5.288 0.409
Co 4.032 0.924 6.468
Co 5.732 2.182 3.029
Te 1.403 1.495 0.976
Te -0.296 1.611 4.415
Te 1.202 4.656 2.824
Te -0.498 4.663 6.262
Te 5.225 1.550 0.615
Te 3.525 1.557 4.054
Te 5.023 4.601 2.463
Te 3.324 4.718 5.901
```

Values from the calculation:
ΔE_f (raw), eV per atom: -0.276
Energy, eV per atom: -39.87
Fermi-level density of states, states/eV/f.u.: 2.51
Spin magnetization, μB per formula unit: 0.000


A PBEsol-optimized structure of Mg2TlSb. Source: the Alexandria database, functional SCAN. Values from VASP.

Cell and atoms, written as Quantum ESPRESSO input:
```
&SYSTEM
  ibrav = 0, nat = 8, ntyp = 3
/
ATOMIC_SPECIES
Mg 24.30 Mg.upf
Tl 204.38 Tl.upf
Sb 121.76 Sb.upf
CELL_PARAMETERS angstrom
4.566 0.000 0.000
0.000 4.991 0.000
0.000 0.000 8.420
ATOMIC_POSITIONS angstrom
Mg 0.000 0.000 2.098
Mg 0.000 0.000 6.323
Mg 2.283 2.495 2.112
Mg 2.283 2.495 6.308
Tl 0.000 2.495 0.000
Tl 2.283 0.000 4.210
Sb 0.000 2.495 4.210
Sb 2.283 0.000 0.000
```

Values from the calculation:
ΔE_f (raw), eV per atom: -0.157
Energy, eV per atom: -30.05
Fermi-level density of states, states/eV/f.u.: 1.24
Spin magnetization, μB per formula unit: 0.000


A PBEsol-optimized structure of ScTlRu2. Source: the Alexandria database, functional SCAN. Values from VASP.

Cell and atoms, written as Quantum ESPRESSO input:
```
&SYSTEM
  ibrav = 0, nat = 8, ntyp = 3
/
ATOMIC_SPECIES
Sc 44.96 Sc.upf
Tl 204.38 Tl.upf
Ru 101.07 Ru.upf
CELL_PARAMETERS angstrom
3.187 0.000 0.000
0.000 4.904 0.000
0.000 0.000 8.679
ATOMIC_POSITIONS angstrom
Sc 0.000 0.000 0.000
Sc 1.594 2.452 0.000
Tl 0.000 0.000 4.340
Tl 1.594 2.452 4.340
Ru 0.000 2.452 2.053
Ru 0.000 2.452 6.626
Ru 1.594 0.000 2.053
Ru 1.594 0.000 6.626
```

Values from the calculation:
Calculated formation energy, eV per formula unit: 1.12
Energy, eV per atom: -38.78
Fermi-level density of states, states/eV/f.u.: 4.85
Spin magnetization, μB per formula unit: 0.002